[1]
The following is a DFT calculation (PBE) of crystalline Pd3N at its relaxed geometry.

Values from the calculation:
* crystal system: cubic
* raw formation energy: 4.47 eV/f.u.

Structure (POSCAR):
```
Pd3N
1.0
-4.1085 -1.1546 -0.1697
-1.0569 -3.9640 -1.1878
-1.5675 -2.7438 2.8732
Pd N
3 1
Cartesian
-3.3665 -3.9312 0.7579 Pd
-5.0497 -5.8968 1.1369 Pd
-1.6832 -1.9656 0.3790 Pd
0.0000 0.0000 0.0000 N
```



[2]
The following is a DFT calculation (PBE) of crystalline Pm2NpCuSe5 at its relaxed geometry.

Values from the calculation:
* crystal system: orthorhombic
* raw formation energy: -12.26 eV/f.u.

Structure (POSCAR):
```
Pm2NpCuSe5
1.0
-0.6780 0.0848 4.0031
6.9063 -5.8965 -0.7652
7.9064 9.1118 1.1460
Pm Np Cu Se
4 2 2 10
Cartesian
11.0324 2.9915 3.8651 Pm
6.8462 4.9920 1.0538 Pm
4.0474 1.3979 0.6559 Pm
6.2855 -2.8478 3.1849 Pm
7.6727 1.1573 3.3349 Np
2.6817 -2.2138 0.5011 Np
8.0387 7.9814 3.2523 Cu
9.3127 -0.9742 1.5980 Cu
4.7606 -4.2020 0.8954 Se
8.7626 5.5763 3.4259 Se
12.7011 1.2630 2.1245 Se
9.1627 2.7690 1.4932 Se
10.0746 -0.1809 3.7701 Se
5.4616 2.9932 2.9215 Se
6.8667 -0.5537 1.1748 Se
1.8887 2.5616 2.3255 Se
3.8143 -0.8031 2.7230 Se
1.0654 0.0298 0.1798 Se
```



[3]
The following is a DFT calculation (PBE) of crystalline Na2AlCu3Ge4 at its relaxed geometry.

Values from the calculation:
* crystal system: tetragonal
* energy of formation from the pure elements: -57 meV/atom

Structure (POSCAR):
```
Na2AlCu3Ge4
1.0
-2.8237 0.2716 -2.9260
2.5504 -1.7892 -2.6273
-3.9084 -9.7770 2.8643
Na Al Cu Ge
2 1 3 4
Cartesian
-2.3790 -2.2835 -0.7542 Na
-1.6661 -8.2522 0.8419 Na
-2.0909 -5.6473 -1.3445 Al
-1.9542 -4.8885 1.4322 Cu
-4.7882 -8.3102 1.0114 Cu
0.7431 -2.2256 -0.9237 Cu
-0.1367 -0.7588 -2.7766 Ge
0.0000 0.0000 0.0000 Ge
-3.9222 -6.1438 0.3767 Ge
-0.1229 -4.3920 -0.2890 Ge
```



[4]
The following is a DFT calculation (PBE) of crystalline RbMgAl3 at its relaxed geometry.

Values from the calculation:
* relative energy among the computed polymorphs: 0.9714 eV per atom
* crystal system: cubic
* energy of formation from the pure elements: 1614 meV/atom

Structure (POSCAR):
```
RbMgAl3
1.0
5.8954 0.0000 0.0000
0.0000 5.8954 0.0000
0.0000 0.0000 5.8954
Mg Al Rb
1 3 1
Cartesian
2.9477 2.9477 2.9477 Mg
0.0000 2.9477 0.0000 Al
0.0000 0.0000 2.9477 Al
2.9477 0.0000 0.0000 Al
0.0000 0.0000 0.0000 Rb
```



[5]
The following is a DFT calculation (PBE) of crystalline Ta2HS4 at its relaxed geometry.

Values from the calculation:
* crystal system: monoclinic
* total DFT energy (no corrections): -49.1 eV per formula unit

Structure (POSCAR):
```
Ta2HS4
1.0
-1.6592 1.0295 -6.8213
1.3788 -6.8327 -1.3661
-4.6450 1.7467 5.0829
Ta H S
4 2 8
Cartesian
-4.0533 -0.7528 -0.6970 Ta
-0.7971 -4.6628 -4.2013 Ta
-1.8266 -1.3522 -3.4495 Ta
-3.3482 -1.1889 2.2027 Ta
-2.1490 -3.5785 -0.0129 H
-5.5447 2.0815 -2.0249 H
-2.5226 0.5360 -4.8096 S
-0.9835 -3.3672 -2.1507 S
-4.1285 -1.9631 -2.9834 S
-4.5825 1.1911 -2.3959 S
-1.7072 0.0302 -1.4582 S
-4.0287 0.8741 1.1097 S
-3.1300 -2.6793 0.3575 S
-1.7962 -2.8621 -5.4952 S
```



[6]
The following is a DFT calculation (PBE) of crystalline Tm3Cd2Ag3 at its relaxed geometry.

Values from the calculation:
* relative energy among the computed polymorphs: 0.0814 eV per atom
* crystal system: hexagonal
* energy of formation from the pure elements: -187 meV/atom

Structure (POSCAR):
```
Tm3Cd2Ag3
1.0
3.9432 0.0000 0.0000
0.0000 6.4324 -3.7138
0.0000 0.0000 7.4275
Tm Cd Ag
3 2 3
Cartesian
1.9716 2.3472 1.3552 Tm
1.9716 4.0852 -2.3586 Tm
1.9716 0.0000 4.7171 Tm
0.0000 2.1441 3.7138 Cd
0.0000 4.2883 0.0000 Cd
0.0000 4.9373 2.8506 Ag
0.0000 1.4951 -0.8632 Ag
0.0000 0.0000 1.7264 Ag
```



Summary of total moment in μB per atom
0.0000 0.4422 0.0000 0.0000 0.0000 0.0000
(order as listed above)